[1]
Compound: BaSbPb
Source: Alexandria via LeMat-Bulk
Functional: GGA-PBEsol
Structure: relaxed

Cell and atoms, written as POSCAR:
```
BaSbPb
1.0
4.872 0.000 0.000
0.000 12.304 0.000
0.000 0.000 6.907
Ba Sb Pb
4 4 4
Cartesian
0.000 2.249 0.000 Ba
0.000 10.055 3.454 Ba
2.436 3.903 3.454 Ba
2.436 8.401 0.000 Ba
0.000 1.399 3.452 Sb
0.000 10.905 6.906 Sb
2.436 4.753 6.906 Sb
2.436 7.550 3.452 Sb
0.000 6.155 1.737 Pb
0.000 6.148 5.191 Pb
2.436 0.003 1.737 Pb
2.436 12.300 5.191 Pb
```

Computed properties:
magnetization	0.000	Bohr magnetons per cell
SG	No. 36
total DFT energy (no corrections)	-0.3125	Ry/atom
ρ	7.5	g/cm³

---

[2]
Compound: BaSbPb
Source: Alexandria via LeMat-Bulk
Functional: GGA-PBEsol
Structure: relaxed

Cell and atoms, written as POSCAR:
```
BaSbPb
1.0
5.245 0.000 0.000
-2.623 4.542 0.000
0.000 0.000 4.566
Ba Sb Pb
1 1 1
Cartesian
0.000 0.000 0.000 Ba
0.000 3.028 2.283 Sb
2.623 1.514 2.283 Pb
```

Computed properties:
magnetization	0.000	Bohr magnetons per cell
SG	No. 187
total DFT energy (no corrections)	-0.3064	Ry/atom
ρ	7.1	g/cm³

---

[3]
Compound: Ba2ScPb
Source: Alexandria via LeMat-Bulk
Functional: GGA-PBEsol
Structure: relaxed

Cell and atoms, written as POSCAR:
```
Ba2ScPb
1.0
6.854 0.000 0.000
0.000 10.757 0.000
0.000 0.000 3.725
Ba Sc Pb
4 2 2
Cartesian
1.714 2.689 0.000 Ba
1.714 8.068 0.000 Ba
5.141 2.689 0.000 Ba
5.141 8.068 0.000 Ba
0.000 0.000 1.862 Sc
3.427 5.378 1.862 Sc
0.000 5.378 1.862 Pb
3.427 0.000 1.862 Pb
```

Computed properties:
magnetization	0.001	Bohr magnetons per cell
SG	No. 65
formation energy from the elements	-0.13	eV per formula unit
ρ	6.4	g/cm³

---

[4]
Compound: Ba2ScPb
Source: Alexandria via LeMat-Bulk
Functional: GGA-PBEsol
Structure: relaxed

Cell and atoms, written as POSCAR:
```
Ba2ScPb
1.0
5.869 0.000 0.000
0.000 5.869 0.000
0.000 0.000 4.240
Ba Sc Pb
2 1 1
Cartesian
0.000 2.935 0.000 Ba
2.935 0.000 0.000 Ba
0.000 0.000 2.120 Sc
2.935 2.935 2.120 Pb
```

Computed properties:
magnetization	0.629	Bohr magnetons per cell
SG	No. 123
formation energy from the elements	-0.01	eV per formula unit
ρ	6.0	g/cm³

---

[5]
Compound: BaSc2Pb2
Source: Alexandria via LeMat-Bulk
Functional: GGA-PBEsol
Structure: relaxed

Cell and atoms, written as POSCAR:
```
BaSc2Pb2
1.0
4.866 0.000 0.000
0.000 4.866 0.000
0.000 0.000 13.092
Ba Sc Pb
2 4 4
Cartesian
0.000 0.000 0.000 Ba
2.433 2.433 6.546 Ba
0.000 2.433 3.273 Sc
0.000 2.433 9.819 Sc
2.433 0.000 3.273 Sc
2.433 0.000 9.819 Sc
0.000 0.000 4.938 Pb
0.000 0.000 8.153 Pb
2.433 2.433 1.607 Pb
2.433 2.433 11.484 Pb
```

Computed properties:
magnetization	0.001	Bohr magnetons per cell
SG	No. 139
formation energy from the elements	-2.22	eV per formula unit
ρ	6.9	g/cm³

---

[6]
Compound: BaPb3Se
Source: Alexandria via LeMat-Bulk
Functional: GGA-PBEsol
Structure: relaxed

Cell and atoms, written as POSCAR:
```
BaPb3Se
1.0
5.672 0.000 0.000
0.000 5.672 0.000
0.000 0.000 5.672
Ba Pb Se
1 3 1
Cartesian
0.000 0.000 0.000 Ba
0.000 2.836 2.836 Pb
2.836 0.000 2.836 Pb
2.836 2.836 0.000 Pb
2.836 2.836 2.836 Se
```

Computed properties:
magnetization	0.000	Bohr magnetons per cell
SG	No. 221
total DFT energy (no corrections)	-0.2744	Ry/atom
ρ	7.6	g/cm³

---

[7]
Compound: BaPbSe2
Source: Alexandria via LeMat-Bulk
Functional: GGA-PBEsol
Structure: relaxed

Cell and atoms, written as POSCAR:
```
BaPbSe2
1.0
4.345 0.000 0.000
-2.172 3.763 0.000
0.000 0.000 27.723
Ba Pb Se
3 3 6
Cartesian
0.000 0.000 0.000 Ba
0.000 2.508 18.482 Ba
2.172 1.254 9.241 Ba
0.000 0.000 13.862 Pb
0.000 2.508 4.621 Pb
2.172 1.254 23.103 Pb
0.000 0.000 2.991 Se
0.000 0.000 24.732 Se
0.000 2.508 15.491 Se
0.000 2.508 21.473 Se
2.172 1.254 6.250 Se
2.172 1.254 12.232 Se
```

Computed properties:
magnetization	0.321	Bohr magnetons per cell
SG	No. 166
total DFT energy (no corrections)	-0.2891	Ry/atom
ρ	5.5	g/cm³

---

[8]
Compound: BaPbSe2
Source: Alexandria via LeMat-Bulk
Functional: GGA-PBEsol
Structure: relaxed

Cell and atoms, written as POSCAR:
```
BaPbSe2
1.0
12.116 0.000 0.000
0.000 4.266 0.000
-0.010 0.000 4.726
Ba Pb Se
2 2 4
Cartesian
0.000 0.000 0.000 Ba
6.058 2.133 0.000 Ba
2.938 0.000 2.265 Pb
8.996 2.133 2.265 Pb
2.741 2.133 0.119 Se
5.643 0.000 2.364 Se
8.799 0.000 0.119 Se
11.701 2.133 2.364 Se
```

Computed properties:
magnetization	0.000	Bohr magnetons per cell
SG	No. 8
total DFT energy (no corrections)	-0.3460	Ry/atom
ρ	6.8	g/cm³

---

[9]
Compound: BaPbSe2
Source: Alexandria via LeMat-Bulk
Functional: GGA-PBEsol
Structure: relaxed

Cell and atoms, written as POSCAR:
```
BaPbSe2
1.0
4.492 0.000 0.000
0.000 4.492 0.000
0.000 0.000 6.423
Ba Pb Se
1 1 2
Cartesian
0.000 0.000 0.000 Ba
2.246 2.246 3.353 Pb
0.000 0.000 3.222 Se
2.246 2.246 6.233 Se
```

Computed properties:
magnetization	0.000	Bohr magnetons per cell
SG	No. 99
total DFT energy (no corrections)	-0.3467	Ry/atom
ρ	6.4	g/cm³

---

[10]
Compound: BaPbSe2
Source: Alexandria via LeMat-Bulk
Functional: GGA-PBEsol
Structure: relaxed

Cell and atoms, written as POSCAR:
```
BaPbSe2
1.0
4.486 0.000 0.000
-2.243 3.885 0.000
0.000 0.000 21.943
Ba Pb Se
3 3 6
Cartesian
0.000 0.000 0.000 Ba
0.000 2.590 14.628 Ba
2.243 1.295 7.314 Ba
0.000 0.000 10.971 Pb
0.000 2.590 3.657 Pb
2.243 1.295 18.286 Pb
0.000 0.000 5.380 Se
0.000 0.000 16.562 Se
0.000 2.590 9.248 Se
0.000 2.590 20.009 Se
2.243 1.295 1.934 Se
2.243 1.295 12.695 Se
```

Computed properties:
magnetization	0.000	Bohr magnetons per cell
SG	No. 166
total DFT energy (no corrections)	-0.3468	Ry/atom
ρ	6.5	g/cm³

---

[11]
Compound: BaPbWSe2
Source: Alexandria via LeMat-Bulk
Functional: GGA-PBEsol
Structure: relaxed

Cell and atoms, written as POSCAR:
```
BaPbWSe2
1.0
5.417 0.000 0.000
0.000 5.417 0.000
0.000 0.000 6.267
Ba Pb W Se
1 1 1 2
Cartesian
0.000 0.000 0.000 Ba
0.000 0.000 3.134 Pb
2.708 2.708 0.000 W
0.000 2.708 3.134 Se
2.708 0.000 3.134 Se
```

Computed properties:
magnetization	4.655	Bohr magnetons per cell
SG	No. 123
total DFT energy (no corrections)	-0.3020	Ry/atom
ρ	6.2	g/cm³

---

[12]
Compound: BaSi2Pb
Source: Alexandria via LeMat-Bulk
Functional: GGA-PBEsol
Structure: relaxed

Cell and atoms, written as POSCAR:
```
BaSi2Pb
1.0
4.726 0.000 0.000
0.000 4.726 0.000
0.000 0.000 4.519
Ba Si Pb
1 2 1
Cartesian
0.000 0.000 0.000 Ba
0.000 2.363 2.260 Si
2.363 0.000 2.260 Si
2.363 2.363 0.000 Pb
```

Computed properties:
magnetization	0.000	Bohr magnetons per cell
SG	No. 123
total DFT energy (no corrections)	-0.3156	Ry/atom
ρ	6.6	g/cm³